No. 1
This record from the Alexandria database describes a geometry-optimized CeEuGa2 structure. The functional is PBE.

Lattice parameters (Å, degrees): 3.424 3.424 8.368 90.00 90.00 90.00
Site moments in Bohr magnetons follow the coordinates.
Positions (direct):
Ga  0.000  0.000  0.243  0.01
Ce  0.500  0.500  0.000  -0.32
Eu  0.500  0.500  0.500  6.84
Ga  0.000  0.000  0.757  0.01

The value obtained for the polymorph energy (0 for the lowest one) is 0.0000 eV/atom.

No. 2
This record from the Alexandria database describes a geometry-optimized AlCd2Hg4 structure. The functional is PBE.

Lattice parameters (Å, degrees): 5.354 5.354 8.160 109.15 109.15 90.00
Positions (direct):
Hg  0.811  0.811  0.622
Hg  0.500  0.000  0.000
Al  0.000  0.000  0.000
Cd  0.385  0.385  0.770
Hg  0.189  0.189  0.378
Hg  0.000  0.500  0.000
Cd  0.615  0.615  0.230

No. 3
This record from the Alexandria database describes a geometry-optimized Nd6TlP3S2 structure. The functional is PBE.

Lattice parameters (Å, degrees): 4.153 8.487 9.373 102.70 102.80 90.00
Positions (direct):
Nd  0.665  0.590  0.331
S  0.170  0.340  0.340
Nd  0.998  0.727  0.996
Tl  0.500  0.000  0.000
Nd  0.335  0.410  0.669
Nd  0.002  0.273  0.004
P  0.834  0.167  0.668
P  0.500  0.500  0.000
Nd  0.675  0.086  0.349
Nd  0.325  0.914  0.651
S  0.830  0.660  0.660
P  0.166  0.833  0.332

As for the uncorrected formation energy: -1.50 eV/atom.

No. 4
This record from the Alexandria database describes a geometry-optimized RbHf2BRu structure. The functional is PBE.

Lattice parameters (Å, degrees): 5.037 4.008 5.037 90.00 90.00 90.00
Site moments in Bohr magnetons follow the coordinates.
Positions (direct):
Hf  0.500  0.000  0.000  -0.05
B  0.000  0.500  0.000  0.00
Ru  0.500  0.500  0.500  1.04
Hf  0.000  0.000  0.500  0.03
Rb  0.000  0.000  0.000  0.02

Values for DFT total energy, eV per atom, ordered as above
-6.02 -0.84 -6.12 -4.50